Entry from the Alexandria database: a relaxed Rb2AuF crystal (GGA-PBE).

excess energy over the best structure of this formula in the dataset = 32 meV per atom
magnetic moment = 0.000 μB per atom
raw formation energy = -1.41 eV per atom
space group = I-42d
E_tot = -3.1804 eV per atom

Cell: 7.324 7.324 7.324 Å, 113.60 113.60 101.50°
Fractional positions:
Rb 0.046 0.625 0.921
Rb 0.375 0.296 0.421
Rb 0.704 0.125 0.079
Rb 0.875 0.954 0.579
Au 0.250 0.750 0.500
Au 0.500 0.500 0.000
F 0.000 0.000 0.000
F 0.750 0.250 0.500



Entry from the Alexandria database: a relaxed ZrSi2As crystal (GGA-PBE).

excess energy over the best structure of this formula in the dataset = 343 meV per atom
magnetic moment = 0.000 μB per atom
raw formation energy = -0.01 eV per atom
space group = P4mm
E_tot = -6.0187 eV per atom

Cell: 3.046 3.046 8.049 Å, 90.00 90.00 90.00°
Fractional positions:
Zr 0.000 0.000 0.000
Si 0.000 0.000 0.591
Si 0.500 0.500 0.762
As 0.500 0.500 0.253